1.
{"formula": "Sc2ZnSi2", "functional": "PBE", "state": "optimized geometry", "e_tot_ev_per_atom": -5.200, "dos_ef_per_ev_atom": 0.546, "crystal_system": "tetragonal", "lattice_angstrom": [[7.790, 0.000, 0.000], [0.000, 7.790, 0.000], [0.000, 0.000, 3.153]], "species": ["Sc", "Sc", "Sc", "Sc", "Zn", "Zn", "Si", "Si", "Si", "Si"], "frac_coords": [[0.363, 0.863, 0.000], [0.863, 0.637, 0.000], [0.637, 0.137, 0.000], [0.137, 0.363, 0.000], [0.000, 0.000, 0.000], [0.500, 0.500, 0.000], [0.168, 0.668, 0.500], [0.668, 0.832, 0.500], [0.832, 0.332, 0.500], [0.332, 0.168, 0.500]]}

---

2.
{"formula": "Sc2ZnSi", "functional": "PBE", "state": "optimized geometry", "e_tot_ev_per_atom": -4.768, "dos_ef_per_ev_atom": 1.218, "crystal_system": "cubic", "lattice_angstrom": [[4.701, 0.000, 0.000], [2.350, 4.071, 0.000], [2.350, 1.357, 3.838]], "species": ["Sc", "Sc", "Si", "Zn"], "frac_coords": [[0.000, 0.000, 0.000], [0.250, 0.250, 0.250], [0.500, 0.500, 0.500], [0.750, 0.750, 0.750]]}

---

3.
{"formula": "ScZn2Si", "functional": "PBE", "state": "optimized geometry", "e_tot_ev_per_atom": -3.408, "dos_ef_per_ev_atom": 0.824, "crystal_system": "trigonal", "lattice_angstrom": [[9.024, -0.009, -0.005], [8.513, 2.992, -0.005], [8.513, 1.448, 2.618]], "species": ["Sc", "Si", "Zn", "Zn"], "frac_coords": [[0.250, 0.250, 0.250], [0.750, 0.750, 0.750], [0.006, 0.006, 0.006], [0.494, 0.494, 0.494]]}

---

4.
{"formula": "ScZn2Si", "functional": "PBE", "state": "optimized geometry", "e_tot_ev_per_atom": -3.514, "dos_ef_per_ev_atom": 0.774, "crystal_system": "trigonal", "lattice_angstrom": [[8.622, -0.096, -0.056], [8.089, 2.986, -0.056], [8.089, 1.399, 2.639]], "species": ["Sc", "Si", "Zn", "Zn"], "frac_coords": [[0.497, 0.497, 0.497], [0.746, 0.746, 0.746], [0.002, 0.002, 0.002], [0.254, 0.254, 0.254]]}

---

5.
{"formula": "ScZn2Si", "functional": "PBE", "state": "optimized geometry", "e_tot_ev_per_atom": -3.693, "dos_ef_per_ev_atom": 0.388, "crystal_system": "monoclinic", "lattice_angstrom": [[-0.996, -3.632, 2.211], [1.235, -4.189, 0.025], [3.852, 0.097, 3.906]], "species": ["Sc", "Si", "Zn", "Zn"], "frac_coords": [[0.499, 0.499, 0.495], [0.255, 0.255, 0.211], [0.001, 0.001, 0.994], [0.744, 0.744, 0.800]]}

---

6.
{"formula": "Sc2Zn2Si", "functional": "PBE", "state": "optimized geometry", "e_tot_ev_per_atom": -4.522, "dos_ef_per_ev_atom": 0.378, "crystal_system": "tetragonal", "lattice_angstrom": [[-0.888, 0.567, -6.403], [-0.999, -6.397, -0.428], [-4.151, 0.606, 0.629]], "species": ["Sc", "Sc", "Sc", "Sc", "Zn", "Zn", "Zn", "Zn", "Si", "Si"], "frac_coords": [[0.171, 0.671, 0.500], [0.671, 0.829, 0.500], [0.829, 0.329, 0.500], [0.329, 0.171, 0.500], [0.368, 0.868, 0.000], [0.868, 0.632, 0.000], [0.632, 0.132, 0.000], [0.132, 0.368, 0.000], [0.000, 0.000, 0.000], [0.500, 0.500, 0.000]]}